A geometry-optimized FeHN2F structure. Source: Alexandria, functional PBE with a Hubbard U.

Values from the calculation:
Uncorrected energy, eV per atom: -4.39
Relative energy among the computed polymorphs, meV/atom: 251
Volume, Å³ per cell: 60

Cell lengths 3.8775, 3.8775, 4.0051 Å; angles 90.00, 90.00, 90.00 degrees
Closest atoms and distances in Å follow each position.
Space group P4/mmm (No. 123)
Symmetry-distinct sites (fractional):
Fe 0.0000 0.0000 0.0000  4 N 1.94, 2 F 2.00
H 0.5000 0.5000 0.5000  4 F 2.74, 8 N 2.79
N 0.0000 0.5000 0.0000  2 Fe 1.94
F 0.0000 0.0000 0.5000  2 Fe 2.00